Density functional theory data (PBE with a Hubbard U) for a geometry-optimized AcCrAsO5 structure.

Its total energy is -0.5247 Ry/atom.

The space group is C2/c (No. 15) and the conventional cell measures 8.9093, 9.1191 and 8.8041 Å, with angles of 90.00, 119.77 and 90.00 degrees. Symmetry generates all atoms from Ac at (0.0000, 0.0000, 0.0000), Cr at (0.0000, 0.3258, 0.2500), As at (0.0000, 0.3652, 0.7500), O at (0.0000, 0.1168, 0.2500), O at (0.0061, 0.2610, 0.5929) and O at (0.1662, 0.4971, 0.8377).